Entry 1:
Density functional theory data (PBE) for a geometry-optimized Pr12Zn2Ga5 structure.

Cell lengths 7.719, 8.842, 9.240 Å; angles 88.09, 90.00, 115.88 degrees
Element x y z (fractional)
Pr 0.948 0.896 0.180
Pr 0.046 0.645 0.873
Pr 0.600 0.645 0.873
Pr 0.115 0.711 0.447
Pr 0.596 0.711 0.447
Pr 0.468 0.936 0.699
Pr 0.532 0.064 0.301
Pr 0.885 0.289 0.553
Pr 0.404 0.289 0.553
Pr 0.954 0.355 0.127
Pr 0.400 0.355 0.127
Pr 0.052 0.104 0.820
Zn 0.673 0.000 0.000
Zn 0.327 0.000 0.000
Ga 0.261 0.522 0.683
Ga 0.356 0.712 0.140
Ga 0.000 0.000 0.500
Ga 0.644 0.288 0.860
Ga 0.739 0.478 0.317

- space-group type = C2/m
- crystal system = monoclinic
- raw total energy (eV/atom) = -4.15
- energy of formation from the pure elements (eV per atom) = -0.205

Entry 2:
Density functional theory data (PBE) for a geometry-optimized LaZnBr2 structure.

Cell lengths 11.254, 11.254, 11.254 Å; angles 20.87, 20.87, 20.87 degrees
Element x y z (fractional)
Br 0.975 0.975 0.975
Br 0.525 0.525 0.525
La 0.250 0.250 0.250
Zn 0.750 0.750 0.750

- space-group type = R-3m
- crystal system = trigonal
- raw total energy (eV/atom) = -3.44
- formation energy without anion corrections (eV/atom) = -1.055

Entry 3:
Density functional theory data (PBE) for a geometry-optimized CaTlRh2 structure.

Cell lengths 4.474, 3.371, 5.474 Å; angles 72.72, 90.00, 90.00 degrees
Element x y z (fractional)
Tl 0.000 0.479 0.425
Rh 0.000 0.196 0.976
Rh 0.500 0.054 0.281
Ca 0.500 0.772 0.818

- space-group type = Pm
- crystal system = monoclinic
- raw total energy (eV/atom) = -4.87
- energy of formation from the pure elements (eV per atom) = -0.104

Entry 4:
Density functional theory data (PBE) for a geometry-optimized Sm7Tm4Pu structure.

Cell lengths 5.465, 6.276, 13.072 Å; angles 75.82, 77.93, 64.19 degrees
Site moments in Bohr magnetons follow the coordinates.
Element x y z (fractional)
Sm 0.777 0.550 0.895  0.00
Sm 0.223 0.450 0.105  0.00
Sm 0.159 0.940 0.741  0.03
Sm 0.841 0.060 0.259  0.03
Sm 0.359 0.813 0.469  0.00
Sm 0.500 0.000 0.000  0.24
Sm 0.641 0.187 0.531  0.00
Tm 0.548 0.681 0.224  -0.09
Tm 0.452 0.319 0.776  -0.09
Tm 0.910 0.554 0.626  -0.01
Tm 0.090 0.446 0.374  -0.01
Pu 0.000 0.000 0.000  5.61

- space-group type = C2/m
- crystal system = monoclinic
- raw total energy (eV/atom) = -5.20
- energy of formation from the pure elements (eV per atom) = 0.235

Entry 5:
Density functional theory data (PBE) for a geometry-optimized ZnIr6Os structure.

Cell lengths 3.868, 3.868, 7.737 Å; angles 90.00, 90.00, 90.00 degrees
Element x y z (fractional)
Zn 0.000 0.000 0.000
Ir 0.500 0.500 0.000
Ir 0.500 0.500 0.500
Ir 0.500 0.000 0.255
Ir 0.500 0.000 0.745
Ir 0.000 0.500 0.255
Ir 0.000 0.500 0.745
Os 0.000 0.000 0.500

- space-group type = P4/mmm
- crystal system = tetragonal
- raw total energy (eV/atom) = -8.23
- energy of formation from the pure elements (eV per atom) = -0.026

Entry 6:
Density functional theory data (PBE) for a geometry-optimized AsIrOs2 structure.

Cell lengths 2.819, 3.764, 5.651 Å; angles 90.00, 90.00, 90.00 degrees
Element x y z (fractional)
As 0.000 0.000 0.512
Ir 0.500 0.500 0.747
Os 0.000 0.000 0.015
Os 0.500 0.500 0.226

- space-group type = Pmm2
- crystal system = orthorhombic
- raw total energy (eV/atom) = -8.60
- energy of formation from the pure elements (eV per atom) = 0.389

Entry 7:
Density functional theory data (PBE) for a geometry-optimized BaMg6Mo structure.

Cell lengths 8.099, 8.099, 4.793 Å; angles 90.00, 90.00, 135.19 degrees
Site moments in Bohr magnetons follow the coordinates.
Element x y z (fractional)
Ba 0.223 0.777 0.000  0.02
Mg 0.180 0.325 0.000  -0.01
Mg 0.675 0.820 0.000  -0.01
Mg 0.610 0.390 0.000  0.00
Mg 0.288 0.195 0.500  -0.01
Mg 0.805 0.712 0.500  -0.01
Mg 0.830 0.170 0.500  -0.01
Mo 0.390 0.610 0.500  1.25

- space-group type = Amm2
- crystal system = orthorhombic
- raw total energy (eV/atom) = -2.42
- energy of formation from the pure elements (eV per atom) = 0.369

Entry 8:
Density functional theory data (PBE) for a geometry-optimized Tb2DySb structure.

Cell lengths 4.115, 6.437, 9.626 Å; angles 90.00, 90.00, 108.64 degrees
Element x y z (fractional)
Tb 0.363 0.727 0.546
Tb 0.637 0.273 0.454
Tb 0.363 0.727 0.954
Tb 0.637 0.273 0.046
Dy 0.940 0.879 0.250
Dy 0.060 0.121 0.750
Sb 0.759 0.519 0.750
Sb 0.241 0.481 0.250

- space-group type = Cmcm
- crystal system = orthorhombic
- raw total energy (eV/atom) = -5.05
- formation energy without anion corrections (eV/atom) = -0.553

Entry 9:
Density functional theory data (PBE) for a geometry-optimized Na2AcRuO6 structure.

Cell lengths 5.711, 6.033, 8.296 Å; angles 90.00, 89.95, 90.00 degrees
Site moments in Bohr magnetons follow the coordinates.
Element x y z (fractional)
Na 0.005 0.959 0.265  0.00
Na 0.505 0.541 0.765  0.00
Na 0.995 0.041 0.735  0.00
Na 0.495 0.459 0.235  0.00
Ac 0.500 0.000 0.000  0.01
Ac 0.000 0.500 0.500  0.01
Ru 0.500 0.000 0.500  0.38
Ru 0.000 0.500 0.000  0.38
O 0.281 0.659 0.039  0.02
O 0.781 0.841 0.539  0.02
O 0.719 0.341 0.961  0.02
O 0.219 0.159 0.461  0.02
O 0.349 0.734 0.425  0.02
O 0.849 0.766 0.925  0.02
O 0.651 0.266 0.575  0.02
O 0.151 0.234 0.075  0.02
O 0.896 0.566 0.215  0.02
O 0.396 0.934 0.715  0.02
O 0.104 0.434 0.785  0.02
O 0.604 0.066 0.285  0.02

- space-group type = P2_1/c
- crystal system = monoclinic
- raw total energy (eV/atom) = -6.21
- formation energy without anion corrections (eV/atom) = -1.628

Entry 10:
Density functional theory data (PBE) for a geometry-optimized YMgTe2 structure.

Cell lengths 6.833, 6.833, 4.314 Å; angles 90.01, 90.01, 34.93 degrees
Element x y z (fractional)
Y 0.454 0.454 0.625
Mg 0.247 0.247 0.125
Te 0.029 0.029 0.125
Te 0.770 0.770 0.625

- space-group type = Amm2
- crystal system = orthorhombic
- raw total energy (eV/atom) = -4.66
- formation energy without anion corrections (eV/atom) = -1.072

Entry 11:
Density functional theory data (PBE) for a geometry-optimized TiBeFe2 structure.

Cell lengths 2.924, 2.924, 5.283 Å; angles 90.00, 90.00, 90.00 degrees
Site moments in Bohr magnetons follow the coordinates.
Element x y z (fractional)
Be 0.500 0.500 0.500  -0.06
Fe 0.000 0.000 0.716  1.33
Fe 0.000 0.000 0.284  1.33
Ti 0.500 0.500 0.000  -0.48

- space-group type = P4/mmm
- crystal system = tetragonal
- raw total energy (eV/atom) = -7.36
- energy of formation from the pure elements (eV per atom) = -0.218

Entry 12:
Density functional theory data (PBE) for a geometry-optimized MgZn4Ni structure.

Cell lengths 4.991, 4.991, 4.991 Å; angles 60.00, 60.00, 60.00 degrees
Element x y z (fractional)
Mg 0.250 0.250 0.250
Ni 0.000 0.000 0.000
Zn 0.123 0.626 0.626
Zn 0.626 0.626 0.626
Zn 0.626 0.123 0.626
Zn 0.626 0.626 0.123

- space-group type = F-43m
- crystal system = cubic
- raw total energy (eV/atom) = -2.15
- energy of formation from the pure elements (eV per atom) = -0.074

Entry 13:
Density functional theory data (PBE) for a geometry-optimized HgOsPb2 structure.

Cell lengths 3.271, 3.271, 8.904 Å; angles 90.00, 90.00, 90.00 degrees
Element x y z (fractional)
Hg 0.000 0.000 0.547
Os 0.500 0.500 0.743
Pb 0.000 0.000 0.938
Pb 0.500 0.500 0.272

- space-group type = P4mm
- crystal system = tetragonal
- raw total energy (eV/atom) = -4.10
- energy of formation from the pure elements (eV per atom) = 0.641

Entry 14:
Density functional theory data (PBE) for a geometry-optimized RbGeAsSe2 structure.

Cell lengths 5.758, 5.758, 5.555 Å; angles 90.00, 90.00, 90.00 degrees
Site moments in Bohr magnetons follow the coordinates.
Element x y z (fractional)
As 0.000 0.000 0.500  0.21
Ge 0.500 0.500 0.500  -0.08
Se 0.000 0.500 0.000  0.28
Se 0.500 0.000 0.000  0.28
Rb 0.000 0.000 0.000  0.03

- space-group type = P4/mmm
- crystal system = tetragonal
- raw total energy (eV/atom) = -2.06
- formation energy without anion corrections (eV/atom) = 1.380

Q: Which size of the total moment values were calculated for the entries above? A: 0.00; 0.00; 0.00; 0.49; 0.00; 0.00; 0.16; 0.00; 0.06; 0.00; 0.50; 0.00; 0.00; 0.24, in μB per atom.